1.
# Cs4ThSc3Te8 (PBE, optimized geometry)
data_Cs4ThSc3Te8
_chemical_formula_sum 'Cs12 Th3 Sc9 Te24'
_symmetry_space_group_name_H-M 'R -3 m'
_symmetry_Int_Tables_number 166
_symmetry_space_group_name_Hall '-R 3 2"'
_cell_length_a 8.8469
_cell_length_b 8.8469
_cell_length_c 26.7633
_cell_angle_alpha 90.00
_cell_angle_beta 90.00
_cell_angle_gamma 120.00
loop_
_atom_site_label
_atom_site_fract_x
_atom_site_fract_y
_atom_site_fract_z
Cs1 0.0000 0.0000 0.0000
Cs2 0.0000 0.5000 0.0000
Th1 0.0000 0.0000 0.5000
Sc1 0.0000 0.5000 0.5000
Te1 0.0000 0.0000 0.2263
Te2 0.0136 0.5068 0.7709
# D(E_F)	17.8	states/eV per cell
# E_tot	-223.32	eV per cell
# energy relative to the elements, uncorrected	-1217	meV per atom
# volume	1814.0	Å³/cell
# size of the total moment	0.000	μB per atom



2.
# Mg3PPt (PBE, optimized geometry)
data_Mg3PPt
_chemical_formula_sum 'Mg3 P1 Pt1'
_symmetry_space_group_name_H-M 'P m -3 m'
_symmetry_Int_Tables_number 221
_symmetry_space_group_name_Hall '-P 4 2 3'
_cell_length_a 4.744
_cell_length_b 4.744
_cell_length_c 4.744
_cell_angle_alpha 90.00
_cell_angle_beta 90.00
_cell_angle_gamma 90.00
loop_
_atom_site_label
_atom_site_fract_x
_atom_site_fract_y
_atom_site_fract_z
Mg1 0.000 0.000 0.500
P1 0.000 0.000 0.000
Pt1 0.500 0.500 0.500
# D(E_F)	2.7	states/eV per cell
# E_tot	-16.75	eV per cell
# volume	106.7	Å³/cell
# size of the total moment	0.000	μB per atom
# formation energy from the elements	-0.10	eV/atom



3.
# TbUCo4 (PBE, optimized geometry)
data_TbUCo4
_chemical_formula_sum 'Tb4 U4 Co16'
_symmetry_space_group_name_H-M 'F -4 3 m'
_symmetry_Int_Tables_number 216
_symmetry_space_group_name_Hall 'F -4 2 3'
_cell_length_a 7.039
_cell_length_b 7.039
_cell_length_c 7.039
_cell_angle_alpha 90.00
_cell_angle_beta 90.00
_cell_angle_gamma 90.00
loop_
_atom_site_label
_atom_site_fract_x
_atom_site_fract_y
_atom_site_fract_z
Tb1 0.000 0.000 0.000
U1 0.250 0.250 0.750
Co1 0.125 0.125 0.375
# D(E_F)	38.7	states/eV per cell
# E_tot	-180.49	eV per cell
# volume	348.8	Å³/cell
# size of the total moment	0.002	μB per atom
# formation energy from the elements	-0.13	eV/atom



4.
# Ba2Tl3Pd12Au (PBE, optimized geometry)
data_Ba2Tl3Pd12Au
_chemical_formula_sum 'Ba6 Tl9 Pd36 Au3'
_symmetry_space_group_name_H-M 'R -3 m'
_symmetry_Int_Tables_number 166
_symmetry_space_group_name_Hall '-R 3 2"'
_cell_length_a 9.6277
_cell_length_b 9.6277
_cell_length_c 13.7814
_cell_angle_alpha 90.00
_cell_angle_beta 90.00
_cell_angle_gamma 120.00
loop_
_atom_site_label
_atom_site_fract_x
_atom_site_fract_y
_atom_site_fract_z
Ba1 0.0000 0.0000 0.1653
Tl1 0.0000 0.5000 0.0000
Pd1 0.0104 0.5052 0.6044
Pd2 0.0166 0.5083 0.2029
Au1 0.0000 0.0000 0.5000
# D(E_F)	25.9	states/eV per cell
# E_tot	-236.98	eV per cell
# volume	1106.3	Å³/cell
# size of the total moment	0.000	μB per atom
# formation energy from the elements	-0.14	eV/atom